(1)
# La2AsRu

Crystalline La2AsRu at its relaxed geometry (PBE-GGA, the Alexandria database).

```
La2AsRu
1.0
4.2830 0.0000 0.0000
0.0000 4.2830 0.0000
0.0000 0.0000 5.9648
La As Ru
2 1 1
Direct
0.0000 0.0000 0.0000
0.5000 0.5000 0.4325
0.0000 0.0000 0.4995
0.5000 0.5000 0.0149
```

Values from the calculation:
total magnetic moment: 0.00 μB per cell
calculated formation energy: -0.582 eV/atom
symmetry: P4mm, No. 99
crystal system: tetragonal

***

(2)
# Dy6TeC2Se3

Crystalline Dy6TeC2Se3 at its relaxed geometry (PBE-GGA, the Alexandria database).

```
Dy6TeC2Se3
1.0
8.7668 -1.9450 0.0000
8.7668 1.9450 0.0000
-1.8431 0.0000 7.9346
Dy Te C Se
6 1 2 3
Direct
0.0306 0.0306 0.2814
0.3204 0.3204 0.4374
0.3216 0.3216 0.8628
0.6784 0.6784 0.1372
0.6796 0.6796 0.5626
0.9694 0.9694 0.7186
0.5000 0.5000 0.0000
0.1724 0.1724 0.3407
0.8276 0.8276 0.6593
0.1590 0.1590 0.8352
0.5000 0.5000 0.5000
0.8410 0.8410 0.1648
```

Values from the calculation:
total magnetic moment: 0.00 μB per cell
formation energy from raw total energies: -1274 meV/atom
symmetry: C2/m, No. 12
crystal system: monoclinic

***

(3)
# TiCd2Os

Crystalline TiCd2Os at its relaxed geometry (PBE-GGA, the Alexandria database).

```
TiCd2Os
1.0
-1.9162 1.9162 10.3007
1.9162 -1.9162 10.3007
1.9162 1.9162 -10.3007
Ti Cd Os
2 4 2
Direct
0.0000 0.0000 0.0000
0.7500 0.2500 0.5000
0.1307 0.6250 0.0057
0.3750 0.3807 0.5057
0.6193 0.1250 0.9943
0.8750 0.8693 0.4943
0.2500 0.7500 0.5000
0.5000 0.5000 0.0000
```

Values from the calculation:
total magnetic moment: 0.00 μB per cell
calculated formation energy: 0.480 eV/atom
symmetry: I-42d, No. 122
crystal system: tetragonal

***

(4)
# TaNb6Re5

Crystalline TaNb6Re5 at its relaxed geometry (PBE-GGA, the Alexandria database).

```
TaNb6Re5
1.0
4.5634 0.0000 0.0000
0.0000 6.4339 0.0000
-2.2718 0.0000 6.8341
Ta Nb Re
1 6 5
Direct
0.0000 0.0000 0.0000
0.1682 0.2512 0.3364
0.1682 0.7488 0.3364
0.5000 0.2529 0.0000
0.5000 0.7471 0.0000
0.8318 0.2512 0.6636
0.8318 0.7488 0.6636
0.0000 0.5000 0.0000
0.3323 0.5000 0.6648
0.3338 0.0000 0.6674
0.6662 0.0000 0.3326
0.6677 0.5000 0.3352
```

Values from the calculation:
total magnetic moment: 0.00 μB per cell
calculated formation energy: -0.252 eV/atom
symmetry: P2/m, No. 10
crystal system: monoclinic

***

(5)
# Rb3ZrSb2O9

Crystalline Rb3ZrSb2O9 at its relaxed geometry (PBE-GGA, the Alexandria database).

```
Rb3ZrSb2O9
1.0
5.8527 0.0000 0.0000
-2.9263 5.0686 0.0000
0.0000 0.0000 7.1709
Rb Zr Sb O
3 1 2 9
Direct
0.0000 0.0000 0.0000
0.3333 0.6667 0.6665
0.6667 0.3333 0.3335
0.0000 0.0000 0.5000
0.3333 0.6667 0.1669
0.6667 0.3333 0.8331
0.0000 0.5000 0.0000
0.1710 0.3419 0.3262
0.1710 0.8290 0.3262
0.3419 0.1710 0.6738
0.5000 0.0000 0.0000
0.5000 0.5000 0.0000
0.6581 0.8290 0.3262
0.8290 0.1710 0.6738
0.8290 0.6581 0.6738
```

Values from the calculation:
total magnetic moment: 0.00 μB per cell
formation energy from raw total energies: -1761 meV/atom
symmetry: P-3m1, No. 164
crystal system: trigonal

***

(6)
# Li3TiB

Crystalline Li3TiB at its relaxed geometry (PBE-GGA, the Alexandria database).

```
Li3TiB
1.0
4.9546 0.0000 0.0000
0.0000 4.9546 0.0000
0.0000 0.0000 4.9546
Li Ti B
3 1 1
Direct
0.0000 0.0000 0.5000
0.0000 0.5000 0.0000
0.5000 0.0000 0.0000
0.0000 0.0000 0.0000
0.5000 0.5000 0.5000
```

Values from the calculation:
total magnetic moment: 3.09 μB per cell
calculated formation energy: 1.877 eV/atom
symmetry: Pm-3m, No. 221
crystal system: cubic

***

(7)
# Tl2Ge2Te

Crystalline Tl2Ge2Te at its relaxed geometry (PBE-GGA, the Alexandria database).

```
Tl2Ge2Te
1.0
-2.2156 2.2156 7.1640
2.2156 -2.2156 7.1640
2.2156 2.2156 -7.1640
Tl Ge Te
2 2 1
Direct
0.2500 0.7500 0.5000
0.7500 0.2500 0.5000
0.0860 0.0860 0.0000
0.9140 0.9140 0.0000
0.5000 0.5000 0.0000
```

Values from the calculation:
total magnetic moment: 0.00 μB per cell
formation energy from raw total energies: 270 meV/atom
symmetry: I4/mmm, No. 139
crystal system: tetragonal

***

(8)
# PIr3Se

Crystalline PIr3Se at its relaxed geometry (PBE-GGA, the Alexandria database).

```
PIr3Se
1.0
4.5930 0.0000 0.0000
0.0000 4.5930 0.0000
0.0000 0.0000 4.5930
P Ir Se
1 3 1
Direct
0.0000 0.0000 0.0000
0.0000 0.5000 0.5000
0.5000 0.0000 0.5000
0.5000 0.5000 0.0000
0.5000 0.5000 0.5000
```

Values from the calculation:
total magnetic moment: 0.36 μB per cell
formation energy from raw total energies: 1562 meV/atom
symmetry: Pm-3m, No. 221
crystal system: cubic

***

(9)
# TlSn2SbPt

Crystalline TlSn2SbPt at its relaxed geometry (PBE-GGA, the Alexandria database).

```
TlSn2SbPt
1.0
5.8355 0.0000 0.0000
0.0000 5.8355 0.0000
0.0000 0.0000 4.9600
Tl Sn Sb Pt
1 2 1 1
Direct
0.0000 0.0000 0.0000
0.0000 0.5000 0.5000
0.5000 0.0000 0.5000
0.5000 0.5000 0.5000
0.5000 0.5000 0.0000
```

Values from the calculation:
total magnetic moment: 0.00 μB per cell
formation energy from raw total energies: 473 meV/atom
symmetry: P4/mmm, No. 123
crystal system: tetragonal

***

(10)
# Mg2Ga5Ag4

Crystalline Mg2Ga5Ag4 at its relaxed geometry (PBE-GGA, the Alexandria database).

```
Mg2Ga5Ag4
1.0
-2.6119 4.2771 4.6005
2.6119 -4.2771 4.6005
2.6119 4.2771 -4.6005
Mg Ga Ag
2 5 4
Direct
0.1886 0.1886 0.0000
0.8114 0.8114 0.0000
0.0000 0.5000 0.5000
0.3413 0.2522 0.5935
0.3413 0.7478 0.0891
0.6587 0.2522 0.9109
0.6587 0.7478 0.4065
0.0619 0.7367 0.3252
0.4115 0.7367 0.6748
0.5885 0.2633 0.3252
0.9381 0.2633 0.6748
```

Values from the calculation:
total magnetic moment: 0.00 μB per cell
calculated formation energy: -0.070 eV/atom
symmetry: Immm, No. 71
crystal system: orthorhombic

***

(11)
# Dy2Er5Th

Crystalline Dy2Er5Th at its relaxed geometry (PBE-GGA, the Alexandria database).

```
Dy2Er5Th
1.0
-3.5219 3.5253 4.9661
3.5219 -3.5253 4.9661
3.5219 3.5253 -4.9661
Dy Er Th
2 5 1
Direct
0.0000 0.0000 0.0000
0.0000 0.5000 0.5000
0.0000 0.0000 0.5000
0.0000 0.5000 0.0000
0.5000 0.0000 0.0000
0.5000 0.5000 0.0000
0.5000 0.5000 0.5000
0.5000 0.0000 0.5000
```

Values from the calculation:
total magnetic moment: 0.00 μB per cell
calculated formation energy: 0.018 eV/atom
symmetry: Immm, No. 71
crystal system: orthorhombic

***

(12)
# NaGa2GeAu4

Crystalline NaGa2GeAu4 at its relaxed geometry (PBE-GGA, the Alexandria database).

```
NaGa2GeAu4
1.0
2.3380 1.3499 7.9825
-2.3380 1.3499 7.9825
0.0000 -2.6997 7.9825
Na Ga Ge Au
1 2 1 4
Direct
0.0000 0.0000 0.0000
0.2617 0.2617 0.2617
0.7383 0.7383 0.7383
0.5000 0.5000 0.5000
0.1314 0.1314 0.1314
0.3862 0.3862 0.3862
0.6138 0.6138 0.6138
0.8686 0.8686 0.8686
```

Values from the calculation:
total magnetic moment: 0.00 μB per cell
calculated formation energy: -0.117 eV/atom
symmetry: R-3m, No. 166
crystal system: trigonal

***

(13)
# LiMn2As

Crystalline LiMn2As at its relaxed geometry (PBE-GGA, the Alexandria database).

```
LiMn2As
1.0
3.0451 0.0000 0.0000
0.0000 3.0451 0.0000
0.0000 0.0000 5.8869
Li Mn As
1 2 1
Direct
0.0000 0.0000 0.0000
0.0000 0.0000 0.5307
0.5000 0.5000 0.2882
0.5000 0.5000 0.7400
```

Values from the calculation:
total magnetic moment: 4.06 μB per cell
calculated formation energy: 0.024 eV/atom
symmetry: P4mm, No. 99
crystal system: tetragonal

***

(14)
# Rb2Au2Cl7

Crystalline Rb2Au2Cl7 at its relaxed geometry (PBE-GGA, the Alexandria database).

```
Rb2Au2Cl7
1.0
4.8864 -7.7726 0.0000
4.8864 7.7726 0.0000
-1.7070 0.0000 4.8710
Rb Au Cl
2 2 7
Direct
0.1946 0.8054 0.0000
0.8054 0.1946 0.0000
0.2891 0.2891 0.6634
0.7109 0.7109 0.3366
0.1079 0.1079 0.8819
0.1257 0.4270 0.6412
0.4270 0.1257 0.6412
0.5000 0.5000 0.5000
0.5730 0.8743 0.3588
0.8743 0.5730 0.3588
0.8921 0.8921 0.1181
```

Values from the calculation:
total magnetic moment: 0.00 μB per cell
formation energy from raw total energies: -903 meV/atom
symmetry: C2/m, No. 12
crystal system: monoclinic

***

(15)
# CdNiH6Ir2

Crystalline CdNiH6Ir2 at its relaxed geometry (PBE-GGA, the Alexandria database).

```
CdNiH6Ir2
1.0
3.6875 -4.2758 0.0000
3.6875 4.2758 0.0000
-1.2638 0.0000 5.4047
Cd Ni H Ir
2 2 12 4
Direct
0.1715 0.8285 0.7500
0.8285 0.1715 0.2500
0.4092 0.5908 0.2500
0.5908 0.4092 0.7500
0.1253 0.5594 0.3345
0.1767 0.2556 0.5765
0.2556 0.1767 0.0765
0.3539 0.4956 0.9114
0.4406 0.8747 0.1655
0.4956 0.3539 0.4114
0.5044 0.6461 0.5886
0.5594 0.1253 0.8345
0.6461 0.5044 0.0886
0.7444 0.8233 0.9235
0.8233 0.7444 0.4235
0.8747 0.4406 0.6655
0.0720 0.3246 0.8451
0.3246 0.0720 0.3451
0.6754 0.9280 0.6549
0.9280 0.6754 0.1549
```

Values from the calculation:
DFT total energy: -4.330 eV per atom
total magnetic moment: 0.00 μB per cell
symmetry: C2/c, No. 15
crystal system: monoclinic

***

(16)
# BaMg2Pb

Crystalline BaMg2Pb at its relaxed geometry (PBE-GGA, the Alexandria database).

```
BaMg2Pb
1.0
-2.8094 2.8274 3.9718
2.8094 -2.8274 3.9718
2.8094 2.8274 -3.9718
Ba Mg Pb
1 2 1
Direct
0.0000 0.0000 0.0000
0.2520 0.7520 0.5000
0.5002 0.5002 0.0000
0.7485 0.2485 0.5000
```

Values from the calculation:
total magnetic moment: 0.00 μB per cell
calculated formation energy: -0.171 eV/atom
symmetry: Imm2, No. 44
crystal system: orthorhombic

***

(17)
# Fe2CoSi

Crystalline Fe2CoSi at its relaxed geometry (PBE-GGA, the Alexandria database).

```
Fe2CoSi
1.0
-1.7699 1.7699 3.3723
1.7699 -1.7699 3.3723
1.7699 1.7699 -3.3723
Fe Co Si
2 1 1
Direct
0.0000 0.0000 0.0000
0.7500 0.2500 0.5000
0.5000 0.5000 0.0000
0.2500 0.7500 0.5000
```

Values from the calculation:
total magnetic moment: 1.18 μB per cell
formation energy from raw total energies: -213 meV/atom
symmetry: I-4m2, No. 119
crystal system: tetragonal

***

(18)
# PmY4Rh5

Crystalline PmY4Rh5 at its relaxed geometry (PBE-GGA, the Alexandria database).

```
PmY4Rh5
1.0
3.4213 0.0000 0.0000
0.0000 3.4213 0.0000
0.0000 0.0000 17.6102
Pm Y Rh
1 4 5
Direct
0.0000 0.0000 0.0000
0.0000 0.0000 0.2026
0.0000 0.0000 0.4010
0.0000 0.0000 0.5990
0.0000 0.0000 0.7974
0.5000 0.5000 0.1043
0.5000 0.5000 0.3019
0.5000 0.5000 0.5000
0.5000 0.5000 0.6981
0.5000 0.5000 0.8957
```

Values from the calculation:
total magnetic moment: 0.00 μB per cell
calculated formation energy: -0.800 eV/atom
symmetry: P4/mmm, No. 123
crystal system: tetragonal

***

(19)
# Ru2W

Crystalline Ru2W at its relaxed geometry (PBE-GGA, the Alexandria database).

```
Ru2W
1.0
5.9711 0.0000 0.0000
0.0000 5.9711 0.0000
0.0000 0.0000 5.9711
Ru W
8 4
Direct
0.1232 0.1232 0.1232
0.1232 0.3768 0.6232
0.3768 0.6232 0.1232
0.3768 0.8768 0.6232
0.6232 0.1232 0.3768
0.6232 0.3768 0.8768
0.8768 0.6232 0.3768
0.8768 0.8768 0.8768
0.0000 0.0000 0.5000
0.0000 0.5000 0.0000
0.5000 0.0000 0.0000
0.5000 0.5000 0.5000
```

Values from the calculation:
total magnetic moment: 0.00 μB per cell
calculated formation energy: 1.018 eV/atom
symmetry: Pa-3, No. 205
crystal system: cubic

***

(20)
# TlTe2I

Crystalline TlTe2I at its relaxed geometry (PBE-GGA, the Alexandria database).

```
TlTe2I
1.0
0.0000 3.9780 3.9780
3.9780 0.0000 3.9780
3.9780 3.9780 0.0000
Tl Te I
1 2 1
Direct
0.0000 0.0000 0.0000
0.2500 0.2500 0.2500
0.7500 0.7500 0.7500
0.5000 0.5000 0.5000
```

Values from the calculation:
total magnetic moment: 0.00 μB per cell
formation energy from raw total energies: 308 meV/atom
symmetry: Fm-3m, No. 225
crystal system: cubic

***

(21)
# Th3In

Crystalline Th3In at its relaxed geometry (PBE-GGA, the Alexandria database).

```
Th3In
1.0
-2.4532 2.4532 5.0658
2.4532 -2.4532 5.0658
2.4532 2.4532 -5.0658
Th In
3 1
Direct
0.0000 0.0000 0.0000
0.2500 0.7500 0.5000
0.7500 0.2500 0.5000
0.5000 0.5000 0.0000
```

Values from the calculation:
total magnetic moment: 0.00 μB per cell
calculated formation energy: -0.129 eV/atom
symmetry: I4/mmm, No. 139
crystal system: tetragonal

***

(22)
# Pr2CoH5

Crystalline Pr2CoH5 at its relaxed geometry (PBE-GGA, the Alexandria database).

```
Pr2CoH5
1.0
-2.5294 2.5294 3.6696
2.5294 -2.5294 3.6696
2.5294 2.5294 -3.6696
Pr Co H
2 1 5
Direct
0.0000 0.5000 0.5000
0.5000 0.0000 0.5000
0.2417 0.2417 0.0000
0.0160 0.0160 0.0000
0.0321 0.0321 0.5472
0.0321 0.4849 0.0000
0.4849 0.0321 0.0000
0.4849 0.4849 0.4528
```

Values from the calculation:
DFT total energy: -4.633 eV per atom
total magnetic moment: 0.69 μB per cell
symmetry: I4mm, No. 107
crystal system: tetragonal

***

(23)
# AlTe2Br

Crystalline AlTe2Br at its relaxed geometry (PBE-GGA, the Alexandria database).

```
AlTe2Br
1.0
0.0000 3.6758 3.6758
3.6758 0.0000 3.6758
3.6758 3.6758 0.0000
Al Te Br
1 2 1
Direct
0.0000 0.0000 0.0000
0.2500 0.2500 0.2500
0.7500 0.7500 0.7500
0.5000 0.5000 0.5000
```

Values from the calculation:
total magnetic moment: 0.00 μB per cell
formation energy from raw total energies: 258 meV/atom
symmetry: Fm-3m, No. 225
crystal system: cubic

***

(24)
# Ce7CBr12

Crystalline Ce7CBr12 at its relaxed geometry (PBE-GGA, the Alexandria database).

```
Ce7CBr12
1.0
7.4852 4.3216 3.3911
-7.4852 4.3216 3.3911
0.0000 -8.6431 3.3911
Ce C Br
7 1 12
Direct
0.0000 0.0000 0.0000
0.1947 0.3910 0.4653
0.3910 0.4653 0.1947
0.4653 0.1947 0.3910
0.5347 0.8053 0.6090
0.6090 0.5347 0.8053
0.8053 0.6090 0.5347
0.5000 0.5000 0.5000
0.0246 0.3469 0.1116
0.1116 0.0246 0.3469
0.1847 0.7231 0.5756
0.2769 0.4244 0.8153
0.3469 0.1116 0.0246
0.4244 0.8153 0.2769
0.5756 0.1847 0.7231
0.6531 0.8884 0.9754
0.7231 0.5756 0.1847
0.8153 0.2769 0.4244
0.8884 0.9754 0.6531
0.9754 0.6531 0.8884
```

Values from the calculation:
total magnetic moment: 9.98 μB per cell
formation energy from raw total energies: -1513 meV/atom
symmetry: R-3, No. 148
crystal system: trigonal